The following is a GGA+U calculation of a relaxed structure of Cr2BF, from the Alexandria database.

Calculated values
Energy relative to the lowest polymorph listed for this composition: 23.66 kcal/mol of atoms
Calculated volume: 39.05 Å³/f.u.
Total magnetization: 0.00 μB per formula unit
Uncorrected energy: -4.82 eV per atom
Mass density: 5.7 g cm⁻³
N(E_F): 0.95 states/eV/atom

Cell and atoms, written as CIF:
```
data_Cr2BF
_chemical_formula_sum 'Cr8 B4 F4'
_space_group_name_H-M_alt 'F m -3 m'
_space_group_IT_number 225
_space_group_name_Hall '-F 4 2 3'
_cell_length_a 5.385
_cell_length_b 5.385
_cell_length_c 5.385
_cell_angle_alpha 90.00
_cell_angle_beta 90.00
_cell_angle_gamma 90.00
loop_
_atom_site_label
_atom_site_type_symbol
_atom_site_fract_x
_atom_site_fract_y
_atom_site_fract_z
Cr1 Cr 0.250 0.250 0.250
B1 B 0.000 0.000 0.000
F1 F 0.000 0.000 0.500
```